Record 1
The following is a PBE-GGA calculation of crystalline SrTl2B at its relaxed geometry, from Alexandria.

Its crystal system is triclinic. As for the excess energy over the best structure of this formula in the dataset: 13 meV/atom.

a = 5.7459 Å, b = 6.1290 Å, c = 6.8041 Å
α = 88.70°, β = 82.58°, γ = 65.53°
Atoms (fractional coordinates):
Sr 0.0000 0.0000 0.0000
Sr 0.4736 0.2183 0.5809
Tl 0.1391 0.7948 0.5035
Tl 0.3068 0.3469 0.1000
Tl 0.7111 0.6519 0.3024
Tl 0.7428 0.6175 0.8123
B 0.0386 0.2246 0.3705
B 0.9513 0.2544 0.6001

Record 2
The following is a PBE-GGA calculation of crystalline SrTl2B at its relaxed geometry, from Alexandria.

Its crystal system is monoclinic. As for the excess energy over the best structure of this formula in the dataset: 33 meV/atom.

a = 10.1528 Å, b = 5.4541 Å, c = 8.2046 Å
α = 90.00°, β = 96.05°, γ = 90.00°
Atoms (fractional coordinates):
Sr 0.0000 0.0000 0.0000
Sr 0.1711 0.5000 0.3544
Sr 0.5000 0.5000 0.0000
Sr 0.6711 0.0000 0.3544
Tl 0.0440 0.0000 0.6035
Tl 0.1638 0.5000 0.8154
Tl 0.3441 0.0000 0.1762
Tl 0.3627 0.0000 0.5945
Tl 0.5440 0.5000 0.6035
Tl 0.6639 0.0000 0.8154
Tl 0.8441 0.5000 0.1762
Tl 0.8627 0.5000 0.5945
B 0.4476 0.3568 0.3166
B 0.4476 0.6432 0.3166
B 0.9476 0.1432 0.3166
B 0.9476 0.8568 0.3166

Record 3
The following is a PBE-GGA calculation of crystalline SrTlB at its relaxed geometry, from Alexandria.

Its crystal system is monoclinic.

a = 21.6550 Å, b = 3.9766 Å, c = 3.3198 Å
α = 90.00°, β = 95.16°, γ = 90.00°
Atoms (fractional coordinates):
Sr 0.0000 0.0000 0.0000
Sr 0.2224 0.0000 0.1388
Sr 0.5000 0.5000 0.0000
Sr 0.7224 0.5000 0.1388
Tl 0.1092 0.5000 0.5635
Tl 0.3902 0.0000 0.4348
Tl 0.6092 0.0000 0.5635
Tl 0.8902 0.5000 0.4348
B 0.3079 0.5000 0.6930
B 0.3175 0.5000 0.2046
B 0.8079 0.0000 0.6930
B 0.8175 0.0000 0.2046

Record 4
The following is a PBE-GGA calculation of crystalline SrTl2B at its relaxed geometry, from Alexandria.

Its crystal system is cubic. As for the excess energy over the best structure of this formula in the dataset: 638 meV/atom.

a = 7.4519 Å, b = 7.4519 Å, c = 7.4519 Å
α = 90.00°, β = 90.00°, γ = 90.00°
Atoms (fractional coordinates):
Sr 0.0000 0.0000 0.0000
Sr 0.0000 0.5000 0.5000
Sr 0.5000 0.0000 0.5000
Sr 0.5000 0.5000 0.0000
Tl 0.2500 0.2500 0.2500
Tl 0.2500 0.2500 0.7500
Tl 0.2500 0.7500 0.2500
Tl 0.2500 0.7500 0.7500
Tl 0.7500 0.2500 0.2500
Tl 0.7500 0.2500 0.7500
Tl 0.7500 0.7500 0.2500
Tl 0.7500 0.7500 0.7500
B 0.0000 0.0000 0.5000
B 0.0000 0.5000 0.0000
B 0.5000 0.0000 0.0000
B 0.5000 0.5000 0.5000

Record 5
The following is a PBE-GGA calculation of crystalline SrTlB2 at its relaxed geometry, from Alexandria.

Its crystal system is cubic. As for the excess energy over the best structure of this formula in the dataset: 169 meV/atom.

a = 6.6936 Å, b = 6.6936 Å, c = 6.6936 Å
α = 90.00°, β = 90.00°, γ = 90.00°
Atoms (fractional coordinates):
Sr 0.0000 0.0000 0.0000
Sr 0.0000 0.5000 0.5000
Sr 0.5000 0.0000 0.5000
Sr 0.5000 0.5000 0.0000
Tl 0.0000 0.0000 0.5000
Tl 0.0000 0.5000 0.0000
Tl 0.5000 0.0000 0.0000
Tl 0.5000 0.5000 0.5000
B 0.2500 0.2500 0.2500
B 0.2500 0.2500 0.7500
B 0.2500 0.7500 0.2500
B 0.2500 0.7500 0.7500
B 0.7500 0.2500 0.2500
B 0.7500 0.2500 0.7500
B 0.7500 0.7500 0.2500
B 0.7500 0.7500 0.7500

Record 6
The following is a PBE-GGA calculation of crystalline SrTl2B at its relaxed geometry, from Alexandria.

Its crystal system is orthorhombic. As for the excess energy over the best structure of this formula in the dataset: 262 meV/atom.

a = 3.8646 Å, b = 4.6272 Å, c = 12.0970 Å
α = 90.00°, β = 90.00°, γ = 90.00°
Atoms (fractional coordinates):
Sr 0.0000 0.0000 0.0000
Sr 0.5000 0.5000 0.5000
Tl 0.0000 0.0000 0.3067
Tl 0.0000 0.0000 0.6933
Tl 0.5000 0.5000 0.1933
Tl 0.5000 0.5000 0.8067
B 0.0000 0.0000 0.5000
B 0.5000 0.5000 0.0000

Record 7
The following is a PBE-GGA calculation of crystalline SrTlB2 at its relaxed geometry, from Alexandria.

Its crystal system is tetragonal. As for the excess energy over the best structure of this formula in the dataset: 0 meV/atom.

a = 4.5642 Å, b = 4.5642 Å, c = 16.0040 Å
α = 90.00°, β = 90.00°, γ = 90.00°
Atoms (fractional coordinates):
Sr 0.0000 0.2500 0.3750
Sr 0.0000 0.7500 0.6250
Sr 0.5000 0.2500 0.1250
Sr 0.5000 0.7500 0.8750
Tl 0.0000 0.2500 0.8750
Tl 0.0000 0.7500 0.1250
Tl 0.5000 0.2500 0.6250
Tl 0.5000 0.7500 0.3750
B 0.0000 0.0000 0.0000
B 0.0000 0.5000 0.0000
B 0.2500 0.2500 0.7500
B 0.2500 0.7500 0.2500
B 0.5000 0.0000 0.5000
B 0.5000 0.5000 0.5000
B 0.7500 0.2500 0.7500
B 0.7500 0.7500 0.2500

Record 8
The following is a PBE-GGA calculation of crystalline SrTl2B at its relaxed geometry, from Alexandria.

Its crystal system is monoclinic. As for the excess energy over the best structure of this formula in the dataset: 27 meV/atom.

a = 10.3132 Å, b = 5.4581 Å, c = 8.2211 Å
α = 90.00°, β = 104.89°, γ = 90.00°
Atoms (fractional coordinates):
Sr 0.0000 0.0000 0.0000
Sr 0.0492 0.5000 0.6474
Sr 0.5000 0.5000 0.0000
Sr 0.5492 0.0000 0.6474
Tl 0.1089 0.0000 0.4293
Tl 0.2152 0.5000 0.2916
Tl 0.2745 0.0000 0.8161
Tl 0.3638 0.0000 0.2127
Tl 0.6089 0.5000 0.4293
Tl 0.7152 0.0000 0.2916
Tl 0.7745 0.5000 0.8161
Tl 0.8638 0.5000 0.2127
B 0.2176 0.3566 0.9729
B 0.2176 0.6434 0.9729
B 0.7176 0.1434 0.9729
B 0.7176 0.8566 0.9729

Record 9
The following is a PBE-GGA calculation of crystalline SrTl2B at its relaxed geometry, from Alexandria.

Its crystal system is tetragonal. As for the excess energy over the best structure of this formula in the dataset: 157 meV/atom.

a = 4.3237 Å, b = 4.3237 Å, c = 10.8221 Å
α = 90.00°, β = 90.00°, γ = 90.00°
Atoms (fractional coordinates):
Sr 0.0000 0.0000 0.0000
Sr 0.5000 0.5000 0.5000
Tl 0.0000 0.0000 0.3434
Tl 0.0000 0.0000 0.6566
Tl 0.5000 0.5000 0.1566
Tl 0.5000 0.5000 0.8434
B 0.0000 0.5000 0.7500
B 0.5000 0.0000 0.2500

Record 10
The following is a PBE-GGA calculation of crystalline SrTl2B at its relaxed geometry, from Alexandria.

Its crystal system is triclinic. As for the excess energy over the best structure of this formula in the dataset: 46 meV/atom.

a = 5.3519 Å, b = 6.4036 Å, c = 7.3400 Å
α = 96.37°, β = 103.47°, γ = 112.47°
Atoms (fractional coordinates):
Sr 0.0000 0.0000 0.0000
Sr 0.1079 0.3860 0.5111
Tl 0.3769 0.6145 0.0735
Tl 0.3928 0.9909 0.4731
Tl 0.6999 0.3687 0.8625
Tl 0.7831 0.7380 0.5058
B 0.5097 0.3303 0.3108
B 0.6358 0.2598 0.1538

Record 11
The following is a PBE-GGA calculation of crystalline SrTl2B at its relaxed geometry, from Alexandria.

Its crystal system is tetragonal. As for the excess energy over the best structure of this formula in the dataset: 479 meV/atom.

a = 7.1255 Å, b = 7.1255 Å, c = 10.1520 Å
α = 90.00°, β = 90.00°, γ = 90.00°
Atoms (fractional coordinates):
Sr 0.0000 0.0000 0.0000
Sr 0.0000 0.5000 0.2500
Sr 0.5000 0.0000 0.7500
Sr 0.5000 0.5000 0.5000
Tl 0.0769 0.2500 0.6250
Tl 0.2500 0.5769 0.8750
Tl 0.2500 0.9231 0.3750
Tl 0.4231 0.2500 0.1250
Tl 0.5769 0.7500 0.1250
Tl 0.7500 0.0769 0.3750
Tl 0.7500 0.4231 0.8750
Tl 0.9231 0.7500 0.6250
B 0.0000 0.0000 0.5000
B 0.0000 0.5000 0.7500
B 0.5000 0.0000 0.2500
B 0.5000 0.5000 0.0000

Record 12
The following is a PBE-GGA calculation of crystalline SrTl2B at its relaxed geometry, from Alexandria.

Its crystal system is trigonal. As for the excess energy over the best structure of this formula in the dataset: 181 meV/atom.

a = 4.1812 Å, b = 4.1812 Å, c = 21.0995 Å
α = 90.00°, β = 90.00°, γ = 120.00°
Atoms (fractional coordinates):
Sr 0.0000 0.0000 0.0000
Sr 0.3333 0.6667 0.6667
Sr 0.6667 0.3333 0.3333
Tl 0.0000 0.0000 0.5430
Tl 0.0000 0.0000 0.7773
Tl 0.3333 0.6667 0.2097
Tl 0.3333 0.6667 0.4440
Tl 0.6667 0.3333 0.1107
Tl 0.6667 0.3333 0.8764
B 0.0000 0.0000 0.4188
B 0.3333 0.6667 0.0855
B 0.6667 0.3333 0.7521

Record 13
The following is a PBE-GGA calculation of crystalline SrTl2B at its relaxed geometry, from Alexandria.

Its crystal system is trigonal. As for the excess energy over the best structure of this formula in the dataset: 200 meV/atom.

a = 4.1577 Å, b = 4.1577 Å, c = 7.1287 Å
α = 90.00°, β = 90.00°, γ = 120.00°
Atoms (fractional coordinates):
Sr 0.0000 0.0000 0.0000
Tl 0.3333 0.6667 0.3709
Tl 0.6667 0.3333 0.6705
B 0.3333 0.6667 0.7399

Record 14
The following is a PBE-GGA calculation of crystalline SrTl2B at its relaxed geometry, from Alexandria.

Its crystal system is monoclinic. As for the excess energy over the best structure of this formula in the dataset: 44 meV/atom.

a = 11.1120 Å, b = 5.6967 Å, c = 7.4734 Å
α = 90.00°, β = 112.75°, γ = 90.00°
Atoms (fractional coordinates):
Sr 0.0000 0.0000 0.0000
Sr 0.0936 0.5000 0.6838
Sr 0.5000 0.5000 0.0000
Sr 0.5936 0.0000 0.6838
Tl 0.1741 0.5000 0.2435
Tl 0.2803 0.0000 0.7105
Tl 0.3467 0.0000 0.1823
Tl 0.4820 0.5000 0.4220
Tl 0.6741 0.0000 0.2435
Tl 0.7803 0.5000 0.7105
Tl 0.8467 0.5000 0.1823
Tl 0.9820 0.0000 0.4220
B 0.3364 0.3629 0.6194
B 0.3364 0.6371 0.6194
B 0.8364 0.1371 0.6194
B 0.8364 0.8629 0.6194

Record 15
The following is a PBE-GGA calculation of crystalline SrTl2B at its relaxed geometry, from Alexandria.

Its crystal system is triclinic. As for the excess energy over the best structure of this formula in the dataset: 10 meV/atom.

a = 5.5495 Å, b = 6.5065 Å, c = 7.2357 Å
α = 66.28°, β = 82.64°, γ = 64.94°
Atoms (fractional coordinates):
Sr 0.1456 0.3383 0.2782
Sr 0.8544 0.6617 0.7218
Tl 0.1514 0.9918 0.7962
Tl 0.4786 0.7236 0.2753
Tl 0.5214 0.2764 0.7247
Tl 0.8486 0.0082 0.2038
B 0.3917 0.5448 0.9155
B 0.6083 0.4552 0.0845

Record 16
The following is a PBE-GGA calculation of crystalline SrTlB at its relaxed geometry, from Alexandria.

Its crystal system is orthorhombic.

a = 3.8829 Å, b = 22.0674 Å, c = 3.2928 Å
α = 90.00°, β = 90.00°, γ = 90.00°
Atoms (fractional coordinates):
Sr 0.0000 0.0859 0.2500
Sr 0.0000 0.9141 0.7500
Sr 0.5000 0.4141 0.7500
Sr 0.5000 0.5859 0.2500
Tl 0.0000 0.2989 0.2500
Tl 0.0000 0.7011 0.7500
Tl 0.5000 0.2011 0.7500
Tl 0.5000 0.7989 0.2500
B 0.0000 0.4935 0.2500
B 0.0000 0.5065 0.7500
B 0.5000 0.0065 0.7500
B 0.5000 0.9935 0.2500

Record 17
The following is a PBE-GGA calculation of crystalline SrVB3 at its relaxed geometry, from Alexandria.

Its crystal system is cubic. As for the excess energy over the best structure of this formula in the dataset: 0 meV/atom.

a = 4.1611 Å, b = 4.1611 Å, c = 4.1611 Å
α = 90.00°, β = 90.00°, γ = 90.00°
Atoms (fractional coordinates):
Sr 0.0000 0.0000 0.0000
V 0.5000 0.5000 0.5000
B 0.0000 0.5000 0.5000
B 0.5000 0.0000 0.5000
B 0.5000 0.5000 0.0000

Record 18
The following is a PBE-GGA calculation of crystalline SrVB3 at its relaxed geometry, from Alexandria.

Its crystal system is cubic. As for the excess energy over the best structure of this formula in the dataset: 2517 meV/atom.

a = 4.5477 Å, b = 4.5477 Å, c = 4.5477 Å
α = 90.00°, β = 90.00°, γ = 90.00°
Atoms (fractional coordinates):
Sr 0.0000 0.0000 0.0000
V 0.5000 0.5000 0.5000
B 0.0000 0.0000 0.5000
B 0.0000 0.5000 0.0000
B 0.5000 0.0000 0.0000

Record 19
The following is a PBE-GGA calculation of crystalline Sr2V2B at its relaxed geometry, from Alexandria.

Its crystal system is tetragonal. As for the excess energy over the best structure of this formula in the dataset: 601 meV/atom.

a = 8.8229 Å, b = 8.8229 Å, c = 3.6961 Å
α = 90.00°, β = 90.00°, γ = 90.00°
Atoms (fractional coordinates):
Sr 0.2096 0.2904 0.0000
Sr 0.2904 0.7904 0.0000
Sr 0.7096 0.2096 0.0000
Sr 0.7904 0.7096 0.0000
V 0.0732 0.5732 0.5000
V 0.4268 0.0732 0.5000
V 0.5732 0.9268 0.5000
V 0.9268 0.4268 0.5000
B 0.0000 0.0000 0.0000
B 0.5000 0.5000 0.0000

Record 20
The following is a PBE-GGA calculation of crystalline Sr2V2B at its relaxed geometry, from Alexandria.

Its crystal system is tetragonal. As for the excess energy over the best structure of this formula in the dataset: 0 meV/atom.

a = 3.3573 Å, b = 3.3573 Å, c = 19.9391 Å
α = 90.00°, β = 90.00°, γ = 90.00°
Atoms (fractional coordinates):
Sr 0.0000 0.0000 0.0882
Sr 0.0000 0.0000 0.9118
Sr 0.5000 0.5000 0.4118
Sr 0.5000 0.5000 0.5882
V 0.0000 0.5000 0.2500
V 0.0000 0.5000 0.7500
V 0.5000 0.0000 0.2500
V 0.5000 0.0000 0.7500
B 0.0000 0.0000 0.5000
B 0.5000 0.5000 0.0000

Number 1: electronic total energy -25.4 eV for the cell shown, spin magnetization 0.000 μB per atom, E_form 0.101 eV per atom. Number 2: electronic total energy -50.4 eV for the cell shown, spin magnetization 0.000 μB per atom, E_form 0.122 eV per atom. Number 3: electronic total energy -42.7 eV for the cell shown, spin magnetization 0.000 μB per atom, E_form 0.016 eV per atom. Number 4: electronic total energy -40.7 eV for the cell shown, spin magnetization 0.000 μB per atom, E_form 0.727 eV per atom. Number 5: electronic total energy -51.3 eV for the cell shown, spin magnetization 0.000 μB per atom, E_form 1.145 eV per atom. Number 6: electronic total energy -23.4 eV for the cell shown, spin magnetization 0.000 μB per atom, E_form 0.351 eV per atom. Number 7: electronic total energy -54.0 eV for the cell shown, spin magnetization 0.000 μB per atom, E_form 0.977 eV per atom. Number 8: electronic total energy -50.5 eV for the cell shown, spin magnetization 0.000 μB per atom, E_form 0.116 eV per atom. Number 9: electronic total energy -24.2 eV for the cell shown, spin magnetization 0.000 μB per atom, E_form 0.245 eV per atom. Number 10: electronic total energy -25.1 eV for the cell shown, spin magnetization 0.000 μB per atom, E_form 0.134 eV per atom. Number 11: electronic total energy -43.3 eV for the cell shown, spin magnetization 0.000 μB per atom, E_form 0.567 eV per atom. Number 12: electronic total energy -36.0 eV for the cell shown, spin magnetization 0.000 μB per atom, E_form 0.270 eV per atom. Number 13: electronic total energy -11.9 eV for the cell shown, spin magnetization 0.000 μB per atom, E_form 0.289 eV per atom. Number 14: electronic total energy -50.2 eV for the cell shown, spin magnetization 0.000 μB per atom, E_form 0.132 eV per atom. Number 15: electronic total energy -25.4 eV for the cell shown, spin magnetization 0.000 μB per atom, E_form 0.098 eV per atom. Number 16: electronic total energy -44.4 eV for the cell shown, spin magnetization 0.000 μB per atom, E_form -0.123 eV per atom. Number 17: electronic total energy -28.4 eV for the cell shown, spin magnetization 0.000 μB per atom, E_form 0.494 eV per atom. Number 18: electronic total energy -15.8 eV for the cell shown, spin magnetization 0.638 μB per atom, E_form 3.011 eV per atom. Number 19: electronic total energy -42.1 eV for the cell shown, spin magnetization 0.172 μB per atom, E_form 1.442 eV per atom. Number 20: electronic total energy -48.2 eV for the cell shown, spin magnetization 0.002 μB per atom, E_form 0.841 eV per atom.